# 1
Entry from the Alexandria database: a geometry-optimized TaGa3C structure (GGA-PBE).

Output
DFT formation energy (kJ/mol of atoms): 184.58
ΔE to the lowest computed polymorph (eV per atom): 0.9189
Total energy (eV for the cell shown): -20.6
Volume (A^3/atom): 26.5
D(E_F) (states/eV per cell): 3.93
Crystal system: cubic

abc: 5.096 5.096 5.096
angles: 90.00 90.00 90.00
Fractional coordinates of all 5 atoms:
Ga: 0.000 0.000 0.500
Ga: 0.000 0.500 0.000
Ga: 0.500 0.000 0.000
C: 0.500 0.500 0.500
Ta: 0.000 0.000 0.000


# 2
Entry from the Alexandria database: a geometry-optimized PrMg6 structure (GGA-PBE).

Output
DFT formation energy (kJ/mol of atoms): 61.34
ΔE to the lowest computed polymorph (eV per atom): 0.5799
Total energy (eV for the cell shown): -9.9
Volume (A^3/atom): 32.7
D(E_F) (states/eV per cell): 5.28
Crystal system: cubic

abc: 6.671 6.671 6.671
angles: 109.47 109.47 109.47
Fractional coordinates of all 7 atoms:
Pr: 0.000 0.000 0.000
Mg: 0.250 0.750 0.500
Mg: 0.750 0.500 0.250
Mg: 0.750 0.250 0.500
Mg: 0.500 0.750 0.250
Mg: 0.250 0.500 0.750
Mg: 0.500 0.250 0.750


# 3
Entry from the Alexandria database: a geometry-optimized Sr2Al12Au7 structure (GGA-PBE).

Output
DFT formation energy (kJ/mol of atoms): -46.29
Total energy (eV for the cell shown): -81.3
Volume (A^3/atom): 19.4
D(E_F) (states/eV per cell): 7.47
Crystal system: trigonal

abc: 4.189 10.584 10.584
angles: 120.00 90.00 90.00
Fractional coordinates of all 21 atoms:
Al: 0.749 0.053 0.433
Al: 0.251 0.947 0.567
Au: 0.500 0.000 0.000
Au: 0.240 0.708 0.595
Al: 0.741 0.854 0.119
Al: 0.259 0.735 0.854
Au: 0.760 0.595 0.887
Al: 0.749 0.380 0.947
Au: 0.240 0.887 0.292
Al: 0.251 0.433 0.380
Au: 0.240 0.405 0.113
Al: 0.259 0.119 0.265
Sr: 0.742 0.667 0.333
Sr: 0.258 0.333 0.667
Al: 0.259 0.146 0.881
Al: 0.741 0.265 0.146
Au: 0.760 0.292 0.405
Al: 0.749 0.567 0.620
Au: 0.760 0.113 0.708
Al: 0.741 0.881 0.735
Al: 0.251 0.620 0.053


# 4
Entry from the Alexandria database: a geometry-optimized SmTmAgRh structure (GGA-PBE).

Output
DFT formation energy (kJ/mol of atoms): -55.19
ΔE to the lowest computed polymorph (eV per atom): 0.0000
Total energy (eV for the cell shown): -21.7
Volume (A^3/atom): 22.3
D(E_F) (states/eV per cell): 4.23
Crystal system: tetragonal

abc: 3.514 3.514 7.235
angles: 90.00 90.00 90.00
Fractional coordinates of all 4 atoms:
Rh: 0.500 0.500 0.593
Tm: 0.000 0.000 0.377
Ag: 0.500 0.500 0.124
Sm: 0.000 0.000 0.835


# 5
Entry from the Alexandria database: a geometry-optimized MnSbTe4 structure (GGA-PBE).

Output
ΔE to the lowest computed polymorph (eV per atom): 0.8085
Total energy (eV for the cell shown): -21.6
Volume (A^3/atom): 29.5
D(E_F) (states/eV per cell): 3.89
Crystal system: cubic

abc: 6.301 6.301 6.301
angles: 60.00 60.00 60.00
Fractional coordinates of all 6 atoms:
Mn: 0.750 0.750 0.750
Te: 0.874 0.375 0.375
Sb: 0.000 0.000 0.000
Te: 0.375 0.375 0.375
Te: 0.375 0.375 0.874
Te: 0.375 0.874 0.375


# 6
Entry from the Alexandria database: a geometry-optimized La3TmFe structure (GGA-PBE).

Output
DFT formation energy (kJ/mol of atoms): 12.63
Total energy (eV for the cell shown): -27.1
Volume (A^3/atom): 31.8
D(E_F) (states/eV per cell): 7.01
Crystal system: cubic

abc: 5.416 5.416 5.416
angles: 90.00 90.00 90.00
Fractional coordinates of all 5 atoms:
La: 0.000 0.500 0.000
La: 0.500 0.000 0.000
Tm: 0.500 0.500 0.500
Fe: 0.000 0.000 0.000
La: 0.000 0.000 0.500


# 7
Entry from the Alexandria database: a geometry-optimized Ca5TlPt2 structure (GGA-PBE).

Output
DFT formation energy (kJ/mol of atoms): -69.66
Total energy (eV for the cell shown): -60.5
Volume (A^3/atom): 28.1
D(E_F) (states/eV per cell): 8.52
Crystal system: tetragonal

abc: 7.902 7.902 9.107
angles: 115.71 115.71 90.00
Fractional coordinates of all 16 atoms:
Ca: 0.034 0.534 0.733
Ca: 0.199 0.034 0.733
Ca: 0.301 0.801 0.267
Tl: 0.750 0.750 0.500
Ca: 0.000 0.000 0.000
Ca: 0.801 0.966 0.267
Pt: 0.872 0.628 0.000
Pt: 0.628 0.128 0.000
Ca: 0.966 0.466 0.267
Ca: 0.466 0.301 0.267
Ca: 0.699 0.199 0.733
Ca: 0.534 0.699 0.733
Tl: 0.250 0.250 0.500
Pt: 0.372 0.872 0.000
Pt: 0.128 0.372 0.000
Ca: 0.500 0.500 0.000


# 8
Entry from the Alexandria database: a geometry-optimized AcNd3YTm structure (GGA-PBE).

Output
DFT formation energy (kJ/mol of atoms): 3.96
Total energy (eV for the cell shown): -58.2
Volume (A^3/atom): 35.5
D(E_F) (states/eV per cell): 20.13
Crystal system: monoclinic

abc: 5.235 8.212 11.027
angles: 116.17 90.00 90.00
Fractional coordinates of all 12 atoms:
Nd: 0.750 0.373 0.546
Tm: 0.250 0.130 0.628
Y: 0.250 0.620 0.124
Ac: 0.250 0.122 0.294
Ac: 0.750 0.878 0.706
Y: 0.750 0.380 0.876
Nd: 0.750 0.868 0.040
Nd: 0.750 0.380 0.208
Tm: 0.750 0.870 0.372
Nd: 0.250 0.132 0.960
Nd: 0.250 0.627 0.454
Nd: 0.250 0.620 0.792


# 9
Entry from the Alexandria database: a geometry-optimized NaAs3Cl structure (GGA-PBE).

Output
ΔE to the lowest computed polymorph (eV per atom): 0.3858
Total energy (eV for the cell shown): -11.6
Volume (A^3/atom): 26.5
D(E_F) (states/eV per cell): 10.37
Crystal system: cubic

abc: 5.100 5.100 5.100
angles: 90.00 90.00 90.00
Fractional coordinates of all 5 atoms:
Na: 0.000 0.000 0.000
As: 0.500 0.000 0.000
As: 0.000 0.500 0.000
Cl: 0.500 0.500 0.500
As: 0.000 0.000 0.500


# 10
Entry from the Alexandria database: a geometry-optimized La2ZrS4 structure (GGA-PBE).

Output
ΔE to the lowest computed polymorph (eV per atom): 0.0199
Total energy (eV for the cell shown): -94.2
Volume (A^3/atom): 25.5
D(E_F) (states/eV per cell): 11.02
Crystal system: monoclinic

abc: 7.094 6.553 7.993
angles: 90.00 106.25 90.00
Fractional coordinates of all 14 atoms:
La: 0.286 0.250 0.943
S: 0.962 0.250 0.614
S: 0.968 0.250 0.117
La: 0.267 0.250 0.444
S: 0.495 0.995 0.745
S: 0.038 0.750 0.386
Zr: 0.236 0.750 0.184
S: 0.505 0.495 0.255
S: 0.505 0.005 0.255
La: 0.714 0.750 0.057
S: 0.495 0.505 0.745
La: 0.733 0.750 0.556
S: 0.032 0.750 0.883
Zr: 0.764 0.250 0.816


# 11
Entry from the Alexandria database: a geometry-optimized Na3Cd2Pb7 structure (GGA-PBE).

Output
DFT formation energy (kJ/mol of atoms): -8.26
ΔE to the lowest computed polymorph (eV per atom): 0.0000
Total energy (eV for the cell shown): -32.8
Volume (A^3/atom): 28.7
D(E_F) (states/eV per cell): 4.06
Crystal system: triclinic

abc: 5.887 5.883 11.600
angles: 109.92 109.94 70.70
Fractional coordinates of all 12 atoms:
Pb: 0.749 0.250 0.500
Na: 0.500 0.500 0.000
Pb: 0.251 0.750 0.500
Na: 0.331 0.331 0.662
Pb: 0.913 0.411 0.826
Na: 0.669 0.669 0.338
Pb: 0.087 0.589 0.174
Cd: 0.169 0.170 0.339
Cd: 0.831 0.830 0.661
Pb: 0.000 0.000 0.000
Pb: 0.588 0.087 0.174
Pb: 0.412 0.913 0.826


# 12
Entry from the Alexandria database: a geometry-optimized Tb6Si2BiTe3 structure (GGA-PBE).

Output
Total energy (eV for the cell shown): -65.5
Volume (A^3/atom): 28.8
D(E_F) (states/eV per cell): 2.64
Crystal system: monoclinic

abc: 4.302 8.746 9.705
angles: 103.27 102.80 90.00
Fractional coordinates of all 12 atoms:
Tb: 0.330 0.886 0.660
Si: 0.831 0.663 0.663
Tb: 0.987 0.744 0.974
Tb: 0.326 0.432 0.651
Tb: 0.670 0.114 0.340
Te: 0.162 0.835 0.325
Si: 0.169 0.337 0.337
Te: 0.500 0.500 0.000
Te: 0.838 0.165 0.675
Tb: 0.674 0.568 0.349
Tb: 0.013 0.256 0.026
Bi: 0.500 0.000 0.000


> The lowest total energy belongs to which entry?

La2ZrS4


> The highest volume belongs to which entry?

AcNd3YTm


What did the first record say?
Entry from the Alexandria database: a geometry-optimized TaGa3C structure (GGA-PBE).

Output
DFT formation energy (kJ/mol of atoms): 184.58
ΔE to the lowest computed polymorph (eV per atom): 0.9189
Total energy (eV for the cell shown): -20.6
Volume (A^3/atom): 26.5
D(E_F) (states/eV per cell): 3.93
Crystal system: cubic

abc: 5.096 5.096 5.096
angles: 90.00 90.00 90.00
Fractional coordinates of all 5 atoms:
Ga: 0.000 0.000 0.500
Ga: 0.000 0.500 0.000
Ga: 0.500 0.000 0.000
C: 0.500 0.500 0.500
Ta: 0.000 0.000 0.000


> Which value of D(E_F) does entry 6 give?

7.01 states/eV per cell